# Sr3Tl3Pb (PBE, relaxed)
data_Sr3Tl3Pb
_chemical_formula_sum 'Sr12 Tl12 Pb4'
_cell_length_a 12.5793
_cell_length_b 4.8147
_cell_length_c 17.4679
_cell_angle_alpha 90.00
_cell_angle_beta 108.67
_cell_angle_gamma 90.00
_space_group_name_H-M_alt 'C 1 2/m 1'
_space_group_IT_number 12
loop_
_space_group_symop_operation_xyz
'x,y,z'
'-x,-y,-z'
'-x,y,-z'
'x,-y,z'
'x+1/2,y+1/2,z'
'-x+1/2,-y+1/2,-z'
'-x+1/2,y+1/2,-z'
'x+1/2,-y+1/2,z'
loop_
_atom_site_label
_atom_site_type_symbol
_atom_site_fract_x
_atom_site_fract_y
_atom_site_fract_z
_atom_site_occupancy
Sr1 Sr 0.0320 0.0000 0.3773 1
Sr2 Sr 0.1073 0.0000 0.9268 1
Sr3 Sr 0.2374 0.0000 0.2213 1
Tl1 Tl 0.0125 0.5000 0.2237 1
Tl2 Tl 0.1137 0.5000 0.0750 1
Tl3 Tl 0.1436 0.5000 0.5239 1
Pb1 Pb 0.2466 0.5000 0.3647 1
# Calculated volume: 35.80 Å³/atom
# Formation energy: -257 kJ/mol of formula units